PBE-GGA LiNi2BAu, optimized geometry; volume = 12.129 A^3/atom; density of states at the Fermi level = 1.66 states/eV/f.u.; mass density = 9094 kg/m3; energy of formation = -0.06 eV/atom; M_tot = 0.000 μB/atom
1.0
3.783 0.000 0.000
0.000 3.783 0.000
0.000 0.000 4.238
Li Ni B Au
1 2 1 1
Direct
0.000 0.000 0.000 Li
0.000 0.500 0.500 Ni
0.500 0.000 0.500 Ni
0.000 0.000 0.500 B
0.500 0.500 0.000 Au